# YAgOs

A geometry-optimized YAgOs structure (GGA-PBE, Alexandria via LeMat-Bulk).

Geometry as POSCAR:
```
YAgOs
1.0
3.195 0.000 0.000
-1.597 2.767 0.000
0.000 0.000 6.905
Os Y Ag
1 1 1
Direct
0.667 0.333 0.343
0.333 0.667 0.640
0.000 0.000 0.017
```

Computed properties:
Its energy of formation is 550 meV/atom. The calculation puts the volume at 20.3 Å³/atom. As for the symmetry: P3m1. The calculation puts the relative energy among the computed polymorphs at 266.6 meV/atom.

# RhC3O

A geometry-optimized RhC3O structure (GGA-PBE, Alexandria via LeMat-Bulk).

Geometry as POSCAR:
```
RhC3O
1.0
3.514 0.000 0.000
0.000 3.514 0.000
0.000 0.000 3.514
C Rh O
3 1 1
Direct
0.500 0.000 0.000
0.000 0.500 0.000
0.000 0.000 0.500
0.500 0.500 0.500
0.000 0.000 0.000
```

Computed properties:
The calculation puts the volume at 8.7 Å³/atom. As for the symmetry: Pm-3m. The calculation puts the relative energy among the computed polymorphs at 246.2 meV/atom. The formation energy without anion corrections is 2.8182 eV/atom.

# HgPt4

A geometry-optimized HgPt4 structure (GGA-PBE, Alexandria via LeMat-Bulk).

Geometry as POSCAR:
```
HgPt4
1.0
-1.877 1.877 6.551
1.877 -1.877 6.551
1.877 1.877 -6.551
Pt Hg
4 1
Direct
0.750 0.250 0.500
0.402 0.402 0.000
0.598 0.598 0.000
0.250 0.750 0.500
0.000 0.000 0.000
```

Computed properties:
Its energy of formation is 235 meV/atom. The calculation puts the volume at 18.5 Å³/atom. As for the symmetry: I4/mmm. The calculation puts the relative energy among the computed polymorphs at 190.4 meV/atom.

# Tb2Pm2Tl5

A geometry-optimized Tb2Pm2Tl5 structure (GGA-PBE, Alexandria via LeMat-Bulk).

Geometry as POSCAR:
```
Tb2Pm2Tl5
1.0
8.203 0.000 0.000
0.000 8.138 0.000
0.000 -4.069 8.199
Tl Tb Pm
10 4 4
Direct
0.356 0.722 0.736
0.144 0.222 0.736
0.644 0.014 0.736
0.644 0.278 0.264
0.500 0.500 0.000
0.356 0.986 0.264
0.856 0.514 0.736
0.144 0.486 0.264
0.000 0.000 0.000
0.856 0.778 0.264
0.843 0.345 0.000
0.343 0.155 0.000
0.657 0.845 0.000
0.157 0.655 0.000
0.000 0.200 0.400
0.000 0.800 0.600
0.500 0.300 0.600
0.500 0.700 0.400
```

Computed properties:
Its energy of formation is -229 meV/atom. The calculation puts the volume at 30.4 Å³/atom. As for the symmetry: Cmce.

# Na2CoOs2

A geometry-optimized Na2CoOs2 structure (GGA-PBE, Alexandria via LeMat-Bulk).

Geometry as POSCAR:
```
Na2CoOs2
1.0
3.473 0.000 0.000
0.000 3.473 0.000
1.736 1.736 9.213
Na Co Os
2 1 2
Direct
0.393 0.393 0.213
0.607 0.607 0.787
0.000 0.000 0.000
0.250 0.750 0.500
0.750 0.250 0.500
```

Computed properties:
Its energy of formation is 1183 meV/atom. The calculation puts the volume at 22.2 Å³/atom. As for the symmetry: I4/mmm. The calculation puts the relative energy among the computed polymorphs at 0.0 meV/atom.

# HfMgSbTe2

A geometry-optimized HfMgSbTe2 structure (GGA-PBE, Alexandria via LeMat-Bulk).

Geometry as POSCAR:
```
HfMgSbTe2
1.0
5.539 0.000 0.000
0.000 5.539 0.000
0.000 0.000 5.599
Hf Sb Te Mg
1 1 2 1
Direct
0.000 0.000 0.000
0.000 0.000 0.500
0.500 0.000 0.000
0.000 0.500 0.000
0.500 0.500 0.500
```

Computed properties:
The calculation puts the volume at 34.4 Å³/atom. As for the symmetry: P4/mmm. The calculation puts the relative energy among the computed polymorphs at 0.0 meV/atom. The formation energy without anion corrections is 0.0029 eV/atom.

# Rb3NbCl6

A geometry-optimized Rb3NbCl6 structure (GGA-PBE, Alexandria via LeMat-Bulk).

Geometry as POSCAR:
```
Rb3NbCl6
1.0
6.674 0.000 3.774
0.000 7.999 0.000
1.026 0.000 13.233
Cl Nb Rb
12 2 6
Direct
0.212 0.173 0.054
0.318 0.531 0.286
0.682 0.031 0.214
0.788 0.827 0.946
0.318 0.969 0.786
0.788 0.673 0.446
0.682 0.469 0.714
0.896 0.264 0.942
0.896 0.236 0.442
0.212 0.327 0.554
0.104 0.736 0.058
0.104 0.764 0.558
0.000 0.500 0.500
0.000 0.000 0.000
0.778 0.430 0.246
0.222 0.570 0.754
0.222 0.930 0.254
0.500 0.500 0.000
0.500 0.000 0.500
0.778 0.070 0.746
```

Computed properties:
The calculation puts the volume at 33.8 Å³/atom. As for the symmetry: P2_1/c. The formation energy without anion corrections is -1.6450 eV/atom.

# RbSrCl2

A geometry-optimized RbSrCl2 structure (GGA-PBE, Alexandria via LeMat-Bulk).

Geometry as POSCAR:
```
RbSrCl2
1.0
6.019 -7.051 2.463
8.666 -3.062 2.745
5.764 -4.275 6.365
Sr Cl Rb
1 2 1
Direct
0.000 0.000 0.000
0.900 0.900 0.900
0.100 0.100 0.100
0.500 0.500 0.500
```

Computed properties:
The calculation puts the volume at 45.7 Å³/atom. As for the symmetry: R-3m. The calculation puts the relative energy among the computed polymorphs at 71.7 meV/atom. The formation energy without anion corrections is -1.7229 eV/atom.

Number 1: DOS at the Fermi energy 0.599 states/eV/atom. Number 2: DOS at the Fermi energy 0.543 states/eV/atom. Number 3: DOS at the Fermi energy 1.937 states/eV/atom. Number 4: DOS at the Fermi energy 0.784 states/eV/atom. Number 5: DOS at the Fermi energy 0.878 states/eV/atom. Number 6: DOS at the Fermi energy 0.821 states/eV/atom. Number 7: DOS at the Fermi energy 1.086 states/eV/atom. Number 8: DOS at the Fermi energy 0.247 states/eV/atom.